La2TlAu2 | PBE | relaxed

Structure (extended XYZ):
```
10
Lattice="3.951 0.000 0.000 0.000 3.951 0.000 0.000 0.000 18.253" Properties=species:S:1:pos:R:3 pbc="T T T"
La 0.000 0.000 2.064
La 0.000 0.000 16.189
La 1.975 1.975 7.062
La 1.975 1.975 11.190
Tl 0.000 0.000 9.126
Tl 1.975 1.975 0.000
Au 0.000 1.975 4.563
Au 0.000 1.975 13.690
Au 1.975 0.000 4.563
Au 1.975 0.000 13.690
```

Calculated values
Spin magnetization   0.000 Bohr magnetons per cell
E_tot   -4.221 eV per atom
Formation energy   -0.465 eV/atom
Fermi-level density of states   0.66 states/eV per atom
SG   No. 139

La6Tl5Au | PBE | relaxed

Structure (extended XYZ):
```
12
Lattice="5.577 0.000 0.000 0.000 7.928 0.000 -2.772 0.000 8.396" Properties=species:S:1:pos:R:3 pbc="T T T"
La 0.000 1.901 0.000
La 0.000 6.027 0.000
La 0.011 1.941 5.694
La 0.011 5.988 5.694
La 2.794 1.941 2.702
La 2.794 5.988 2.702
Tl 0.005 0.000 2.846
Tl 0.005 3.964 2.852
Tl 2.788 3.964 0.000
Tl 2.800 3.964 5.544
Tl 2.800 0.000 5.550
Au 2.788 0.000 0.000
```

Calculated values
Spin magnetization   1.265 Bohr magnetons per cell
E_tot   -4.183 eV per atom
Formation energy   -0.461 eV/atom
Fermi-level density of states   1.29 states/eV per atom
SG   No. 10

LaTlAu3 | PBE | relaxed

Structure (extended XYZ):
```
5
Lattice="5.233 0.000 0.000 0.000 5.233 0.000 0.000 0.000 5.233" Properties=species:S:1:pos:R:3 pbc="T T T"
La 0.000 0.000 0.000
Tl 2.617 2.617 2.617
Au 0.000 2.617 2.617
Au 2.617 0.000 2.617
Au 2.617 2.617 0.000
```

Calculated values
Spin magnetization   0.000 Bohr magnetons per cell
E_tot   -3.367 eV per atom
Formation energy   0.058 eV/atom
Energy above the most stable polymorph in this dataset   566.7 meV/atom
Fermi-level density of states   0.65 states/eV per atom
SG   No. 221

La7Tl2Au2 | PBE | relaxed

Structure (extended XYZ):
```
11
Lattice="4.336 -5.885 0.000 4.336 5.885 0.000 0.000 0.000 7.345" Properties=species:S:1:pos:R:3 pbc="T T T"
La 0.000 0.000 0.000
La 2.168 2.943 2.037
La 2.168 2.943 5.308
La 2.168 -2.943 2.037
La 2.168 -2.943 5.308
La 4.336 0.000 1.895
La 4.336 0.000 5.450
Tl 1.464 0.000 3.673
Tl 7.208 0.000 3.673
Au 4.336 2.553 0.000
Au 4.336 -2.553 0.000
```

Calculated values
Spin magnetization   0.000 Bohr magnetons per cell
E_tot   -4.458 eV per atom
Formation energy   -0.297 eV/atom
Fermi-level density of states   1.39 states/eV per atom
SG   No. 65

La2TlAu4 | PBE | relaxed

Structure (extended XYZ):
```
7
Lattice="2.583 1.491 8.189 -2.583 1.491 8.189 0.000 -2.982 8.189" Properties=species:S:1:pos:R:3 pbc="T T T"
La 0.000 0.000 6.125
La 0.000 0.000 18.443
Tl 0.000 0.000 12.284
Au 0.000 0.000 2.982
Au 0.000 0.000 9.193
Au 0.000 0.000 15.374
Au 0.000 0.000 21.586
```

Calculated values
Spin magnetization   0.000 Bohr magnetons per cell
E_tot   -4.174 eV per atom
Formation energy   -0.555 eV/atom
Fermi-level density of states   0.68 states/eV per atom
SG   No. 166

La2Tl2Au | PBE | relaxed

Structure (extended XYZ):
```
10
Lattice="7.731 0.000 0.000 0.000 7.731 0.000 0.000 0.000 4.927" Properties=species:S:1:pos:R:3 pbc="T T T"
La 1.270 2.595 0.000
La 2.595 6.461 0.000
La 5.136 1.270 0.000
La 6.461 5.136 0.000
Tl 1.094 4.960 2.463
Tl 2.771 1.094 2.463
Tl 4.960 6.636 2.463
Tl 6.636 2.771 2.463
Au 0.000 0.000 2.463
Au 3.865 3.865 2.463
```

Calculated values
Spin magnetization   0.000 Bohr magnetons per cell
E_tot   -3.964 eV per atom
Formation energy   -0.391 eV/atom
Energy above the most stable polymorph in this dataset   106.9 meV/atom
Fermi-level density of states   1.29 states/eV per atom
SG   No. 127